An optimized crystal structure of Ac2TePd2. Source: the Alexandria database, functional PBE.

```
Ac2TePd2
1.0
8.2045 0.0000 0.0000
0.0000 8.2045 0.0000
0.0000 0.0000 4.1050
Ac Te Pd
4 2 4
Direct
0.1781 0.3220 0.0000
0.3220 0.8220 0.0000
0.6780 0.1781 0.0000
0.8220 0.6780 0.0000
0.0000 0.0000 0.5000
0.5000 0.5000 0.5000
0.1204 0.6204 0.5000
0.3796 0.1204 0.5000
0.6204 0.8796 0.5000
0.8796 0.3796 0.5000
```

- symmetry = P4/mbm, No. 127
- total magnetization (μB/cell) = 0.00
- VASP energy (eV/atom) = -5.38
- E_form (uncorrected) (eV per formula unit) = -5.17
- DOS(E_F) (states/eV/cell) = 5.07

=====

An optimized crystal structure of Ac2TbTe2S2. Source: the Alexandria database, functional PBE.

```
Ac2TbTe2S2
1.0
-2.5648 2.5648 8.4083
2.5648 -2.5648 8.4083
2.5648 2.5648 -8.4083
Ac Tb Te S
2 1 2 2
Direct
0.1211 0.1211 0.0000
0.8789 0.8789 0.0000
0.5000 0.5000 0.0000
0.3185 0.3185 0.0000
0.6815 0.6815 0.0000
0.0000 0.5000 0.5000
0.5000 0.0000 0.5000
```

- symmetry = I4/mmm, No. 139
- total magnetization (μB/cell) = 0.00
- VASP energy (eV/atom) = -5.61
- E_form (uncorrected) (eV per formula unit) = -11.92
- DOS(E_F) (states/eV/cell) = 2.52

=====

An optimized crystal structure of MoSeCl2. Source: the Alexandria database, functional PBE.

```
MoSeCl2
1.0
-2.1736 2.1736 4.1033
2.1736 -2.1736 4.1033
2.1736 2.1736 -4.1033
Mo Se Cl
1 1 2
Direct
0.0000 0.0000 0.0000
0.5000 0.5000 0.0000
0.2500 0.7500 0.5000
0.7500 0.2500 0.5000
```

- symmetry = I4/mmm, No. 139
- total magnetization (μB/cell) = 2.01
- VASP energy (eV/atom) = -3.85
- E_form (uncorrected) (eV per formula unit) = 2.61
- excess energy over the best structure of this formula in the dataset (eV/atom) = 1.217
- DOS(E_F) (states/eV/cell) = 2.89